1.
First-principles (PBE) data for a relaxed structure of NdSmPd, as listed in Alexandria.

Geometry as POSCAR:
```
NdSmPd
1.0
6.409 0.000 0.000
0.000 9.366 0.000
-1.578 0.000 5.661
Nd Sm Pd
4 4 4
Direct
0.239 0.095 0.427
0.239 0.405 0.927
0.761 0.595 0.073
0.761 0.905 0.573
0.312 0.652 0.437
0.312 0.848 0.937
0.688 0.152 0.063
0.688 0.348 0.563
0.065 0.118 0.860
0.065 0.382 0.360
0.935 0.618 0.640
0.935 0.882 0.140
```

relative energy among the computed polymorphs = 0.034 eV per atom
electronic total energy = -5.338 eV/atom
energy relative to the elements = -42.9 kJ per mole of atoms

***

2.
First-principles (PBE) data for a relaxed structure of NdSm3Pd, as listed in Alexandria.

Geometry as POSCAR:
```
NdSm3Pd
1.0
5.596 0.000 0.000
0.000 5.596 0.000
0.000 0.000 5.596
Nd Sm Pd
1 3 1
Direct
0.000 0.000 0.000
0.000 0.500 0.500
0.500 0.000 0.500
0.500 0.500 0.000
0.500 0.500 0.500
```

relative energy among the computed polymorphs = 0.212 eV per atom
electronic total energy = -4.926 eV/atom
energy relative to the elements = -9.9 kJ per mole of atoms